Material: KTcIO6
Method: DFT, PBE
State: relaxed

abc: 5.386 5.664 5.787
angles: 91.49 91.67 115.44
Space group P1 (No. 1)
Asymmetric unit:
K (0.000, 0.000, 0.000) (multiplicity 1)
Tc (0.340, 0.689, 0.484) (multiplicity 1)
I (0.666, 0.336, 0.574) (multiplicity 1)
O (0.034, 0.714, 0.393) (multiplicity 1)
O (0.301, 0.393, 0.330) (multiplicity 1)
O (0.443, 0.041, 0.732) (multiplicity 1)
O (0.567, 0.589, 0.723) (multiplicity 1)
O (0.612, 0.920, 0.334) (multiplicity 1)
O (0.990, 0.422, 0.748) (multiplicity 1)


Material: ZnPdBr2
Method: DFT, PBE
State: relaxed

Its energy above the lowest structure with this stoichiometry is 0.8 kJ per mole of atoms.

abc: 3.7558 3.7558 24.0141
angles: 90.00 90.00 120.00
Space group R-3m (No. 166, hexagonal axes)
Asymmetric unit:
Zn (0.0000, 0.0000, 0.0000) (multiplicity 3)
Pd (0.0000, 0.0000, 0.5000) (multiplicity 3)
Br (0.0000, 0.0000, 0.3977) (multiplicity 6)


Material: Sm3MgB2N6
Method: DFT, PBE
State: relaxed

abc: 5.4441 5.4441 6.0829
angles: 90.00 90.00 120.00
Space group P-3m1 (No. 164)
Asymmetric unit:
Sm (0.0000, 0.0000, 0.0000) (multiplicity 1)
Sm (0.3333, 0.6667, 0.6559) (multiplicity 2)
Mg (0.0000, 0.0000, 0.5000) (multiplicity 1)
B (0.3333, 0.6667, 0.2479) (multiplicity 2)
N (0.1813, 0.3625, 0.2812) (multiplicity 6)


Table of uncorrected formation energy (eV per atom), in record order: -1.041 -0.134 -1.041